This record from Alexandria via LeMat-Bulk describes a geometry-optimized CsDyCrO4 structure. The functional is PBE+U. Values from VASP.

Cell and atoms, written as Quantum ESPRESSO input:
```
&SYSTEM
  ibrav = 0, nat = 14, ntyp = 4
/
ATOMIC_SPECIES
O 16.00 O.upf
Cr 52.00 Cr.upf
Dy 162.50 Dy.upf
Cs 132.91 Cs.upf
CELL_PARAMETERS angstrom
5.8613 0.0000 -0.1481
0.0000 5.9770 0.0000
-2.4990 0.0000 7.7202
ATOMIC_POSITIONS crystal
O 0.5471 0.2500 0.7810
O 0.4529 0.7500 0.2190
O 0.9574 0.4743 0.6600
O 0.9574 0.0257 0.6600
O 0.5213 0.2500 0.4381
O 0.0426 0.9743 0.3400
O 0.4787 0.7500 0.5619
O 0.0426 0.5257 0.3400
Cr 0.2639 0.7500 0.3511
Cr 0.7361 0.2500 0.6489
Dy 0.8084 0.7500 0.4628
Dy 0.1916 0.2500 0.5372
Cs 0.3004 0.2500 0.0658
Cs 0.6996 0.7500 0.9342
```

## Properties
Its density of states at the Fermi level is 0.0 states/eV/cell. The calculated volume comes out at 19.2 Å³/atom. The calculation puts the total energy at -6.971 eV per atom.